No. 1
Zn2Rh | PBE | optimized geometry

Properties
The value obtained for the calculated total energy is -10.36 eV per formula unit. The value obtained for the density of states at the Fermi level is 0.932 states/eV/atom. The space group is Cmcm, No. 63. For the formation enthalpy at 0 K, the calculation gives -155 meV per atom.

Structure (POSCAR):
```
Zn2Rh
1.0
2.8199 0.0000 0.0000
0.0000 13.6164 0.0000
0.0000 0.0000 4.5189
Zn Rh
8 4
Direct
0.0000 0.0610 0.2500
0.0000 0.3844 0.2500
0.0000 0.6156 0.7500
0.0000 0.9390 0.7500
0.5000 0.1156 0.7500
0.5000 0.4390 0.7500
0.5000 0.5610 0.2500
0.5000 0.8844 0.2500
0.0000 0.2778 0.7500
0.0000 0.7222 0.2500
0.5000 0.2222 0.2500
0.5000 0.7778 0.7500
```

---

No. 2
Zn13Rh2 | PBE | optimized geometry

Properties
The value obtained for the calculated total energy is -33.73 eV per formula unit. The value obtained for the density of states at the Fermi level is 0.343 states/eV/atom. The space group is P-1, No. 2. For the formation enthalpy at 0 K, the calculation gives -164 meV per atom.

Structure (POSCAR):
```
Zn13Rh2
1.0
5.2191 0.0000 0.0000
-1.1807 6.5313 0.0000
-1.7561 -0.8233 6.5202
Zn Rh
13 2
Direct
0.0000 0.0000 0.0000
0.0147 0.6108 0.8503
0.0931 0.2389 0.7126
0.2458 0.8966 0.6662
0.2767 0.5295 0.5243
0.3787 0.7688 0.2361
0.4485 0.3140 0.0826
0.5515 0.6860 0.9174
0.6213 0.2312 0.7639
0.7233 0.4705 0.4757
0.7542 0.1034 0.3338
0.9069 0.7611 0.2874
0.9853 0.3892 0.1497
0.2798 0.1415 0.3769
0.7202 0.8585 0.6231
```

---

No. 3
ZnRh3 | PBE | optimized geometry

Properties
The value obtained for the calculated total energy is -23.82 eV per formula unit. The value obtained for the density of states at the Fermi level is 0.984 states/eV/atom. The space group is Pmm2, No. 25. For the formation enthalpy at 0 K, the calculation gives -122 meV per atom.

Structure (POSCAR):
```
ZnRh3
1.0
2.7538 0.0000 0.0000
0.0000 4.4018 0.0000
0.0000 0.0000 4.6646
Zn Rh
1 3
Direct
0.0000 0.0000 0.0000
0.0000 0.5000 0.6569
0.5000 0.0000 0.4997
0.5000 0.5000 0.1552
```

---

No. 4
ZnRh | PBE | optimized geometry

Properties
The value obtained for the calculated total energy is -9.15 eV per formula unit. The value obtained for the density of states at the Fermi level is 0.893 states/eV/atom. The space group is Amm2, No. 38. For the formation enthalpy at 0 K, the calculation gives -264 meV per atom.

Structure (POSCAR):
```
ZnRh
1.0
2.8623 0.0000 0.0000
0.0000 13.3916 0.0000
0.0000 0.0000 4.4099
Zn Rh
6 6
Direct
0.0000 0.0000 0.0000
0.0000 0.5000 0.5000
0.5000 0.1687 0.1732
0.5000 0.3313 0.6732
0.5000 0.6687 0.6732
0.5000 0.8313 0.1732
0.0000 0.1664 0.6722
0.0000 0.3336 0.1722
0.0000 0.6664 0.1722
0.0000 0.8336 0.6722
0.5000 0.0000 0.4972
0.5000 0.5000 0.9972
```

---

No. 5
ZnRh | PBE | optimized geometry

Properties
The value obtained for the calculated total energy is -9.09 eV per formula unit. The value obtained for the density of states at the Fermi level is 0.939 states/eV/atom. The space group is I4_1/amd, No. 141. For the formation enthalpy at 0 K, the calculation gives -230 meV per atom.

Structure (POSCAR):
```
ZnRh
1.0
3.7687 0.0000 0.0000
0.0000 3.7687 0.0000
0.0000 0.0000 7.9323
Zn Rh
4 4
Direct
0.0000 0.2500 0.3750
0.0000 0.7500 0.6250
0.5000 0.2500 0.1250
0.5000 0.7500 0.8750
0.0000 0.2500 0.8750
0.0000 0.7500 0.1250
0.5000 0.2500 0.6250
0.5000 0.7500 0.3750
```

---

No. 6
ZnRh | PBE | optimized geometry

Properties
The value obtained for the calculated total energy is -8.70 eV per formula unit. The value obtained for the density of states at the Fermi level is 0.716 states/eV/atom. The space group is P6_3/mmc, No. 194. For the formation enthalpy at 0 K, the calculation gives -35 meV per atom.

Structure (POSCAR):
```
ZnRh
1.0
7.7392 0.0000 0.0000
-3.8696 6.7023 0.0000
0.0000 0.0000 4.2705
Zn Rh
6 6
Direct
0.2001 0.4001 0.2500
0.2001 0.7999 0.2500
0.4001 0.2001 0.7500
0.5999 0.7999 0.2500
0.7999 0.2001 0.7500
0.7999 0.5999 0.7500
0.1055 0.5527 0.7500
0.4473 0.5527 0.7500
0.4473 0.8945 0.7500
0.5527 0.1055 0.2500
0.5527 0.4473 0.2500
0.8945 0.4473 0.2500
```

---

Please write out number 2 again, unchanged.
Zn13Rh2 | PBE | optimized geometry

Properties
The value obtained for the calculated total energy is -33.73 eV per formula unit. The value obtained for the density of states at the Fermi level is 0.343 states/eV/atom. The space group is P-1, No. 2. For the formation enthalpy at 0 K, the calculation gives -164 meV per atom.

Structure (POSCAR):
```
Zn13Rh2
1.0
5.2191 0.0000 0.0000
-1.1807 6.5313 0.0000
-1.7561 -0.8233 6.5202
Zn Rh
13 2
Direct
0.0000 0.0000 0.0000
0.0147 0.6108 0.8503
0.0931 0.2389 0.7126
0.2458 0.8966 0.6662
0.2767 0.5295 0.5243
0.3787 0.7688 0.2361
0.4485 0.3140 0.0826
0.5515 0.6860 0.9174
0.6213 0.2312 0.7639
0.7233 0.4705 0.4757
0.7542 0.1034 0.3338
0.9069 0.7611 0.2874
0.9853 0.3892 0.1497
0.2798 0.1415 0.3769
0.7202 0.8585 0.6231
```

---

The lowest formation enthalpy at 0 K belongs to which entry? number 4

---

Repeat the fourth record exactly.
ZnRh | PBE | optimized geometry

Properties
The value obtained for the calculated total energy is -9.15 eV per formula unit. The value obtained for the density of states at the Fermi level is 0.893 states/eV/atom. The space group is Amm2, No. 38. For the formation enthalpy at 0 K, the calculation gives -264 meV per atom.

Structure (POSCAR):
```
ZnRh
1.0
2.8623 0.0000 0.0000
0.0000 13.3916 0.0000
0.0000 0.0000 4.4099
Zn Rh
6 6
Direct
0.0000 0.0000 0.0000
0.0000 0.5000 0.5000
0.5000 0.1687 0.1732
0.5000 0.3313 0.6732
0.5000 0.6687 0.6732
0.5000 0.8313 0.1732
0.0000 0.1664 0.6722
0.0000 0.3336 0.1722
0.0000 0.6664 0.1722
0.0000 0.8336 0.6722
0.5000 0.0000 0.4972
0.5000 0.5000 0.9972
```

---

Please write out number 5 again, unchanged.
ZnRh | PBE | optimized geometry

Properties
The value obtained for the calculated total energy is -9.09 eV per formula unit. The value obtained for the density of states at the Fermi level is 0.939 states/eV/atom. The space group is I4_1/amd, No. 141. For the formation enthalpy at 0 K, the calculation gives -230 meV per atom.

Structure (POSCAR):
```
ZnRh
1.0
3.7687 0.0000 0.0000
0.0000 3.7687 0.0000
0.0000 0.0000 7.9323
Zn Rh
4 4
Direct
0.0000 0.2500 0.3750
0.0000 0.7500 0.6250
0.5000 0.2500 0.1250
0.5000 0.7500 0.8750
0.0000 0.2500 0.8750
0.0000 0.7500 0.1250
0.5000 0.2500 0.6250
0.5000 0.7500 0.3750
```